No. 1
SrGeCl5 | PBE | optimized geometry

Geometry as POSCAR:
```
SrGeCl5
1.0
-5.8490 -2.7124 -2.7248
-0.2314 -6.8849 1.2397
-6.4145 -1.8072 7.1872
Sr Ge Cl
2 2 10
Cartesian
-4.9314 -5.0369 0.8513 Sr
-7.5635 -6.3677 4.8508 Sr
0.0000 0.0000 0.0000 Ge
-3.2072 -0.9036 3.5936 Ge
-5.9261 -7.3443 -0.6050 Cl
-4.7502 -5.9901 3.6867 Cl
-8.2572 -8.8987 3.6069 Cl
-7.1450 -3.3928 -0.7108 Cl
-2.2925 -6.1784 0.0061 Cl
-10.2024 -5.2262 5.6960 Cl
-5.3500 -8.0118 6.4129 Cl
-4.2378 -2.5059 2.0952 Cl
-7.7448 -5.4144 2.0154 Cl
-6.5689 -4.0602 6.3071 Cl
```

Properties
As for the uncorrected energy: -3.61 eV per atom. The space group is No. 15.

***

No. 2
SrGeCl4 | PBE | optimized geometry

Geometry as POSCAR:
```
SrGeCl4
1.0
5.1800 0.0000 0.0000
0.0000 7.7354 0.0000
0.0000 0.0000 9.2372
Sr Ge Cl
2 2 8
Cartesian
4.8277 7.3807 0.0000 Sr
2.2377 0.3546 4.6186 Sr
2.0998 2.9752 0.0000 Ge
4.6898 4.7602 4.6186 Ge
2.1882 5.8216 0.0000 Cl
4.4879 2.7255 0.0000 Cl
1.9315 1.1629 7.5007 Cl
4.5216 6.5724 6.3551 Cl
1.8979 5.0099 4.6186 Cl
4.7782 1.9138 4.6186 Cl
4.5216 6.5724 2.8821 Cl
1.9315 1.1629 1.7365 Cl
```

Properties
As for the uncorrected energy: -3.84 eV per atom. The space group is No. 31.

***

No. 3
SrGe3Cl | PBE | optimized geometry

Geometry as POSCAR:
```
SrGe3Cl
1.0
5.1221 0.0000 0.0000
0.0000 5.1221 0.0000
0.0000 0.0000 5.1221
Sr Ge Cl
1 3 1
Cartesian
2.5610 2.5610 2.5610 Sr
0.0000 2.5610 0.0000 Ge
0.0000 0.0000 2.5610 Ge
2.5610 0.0000 0.0000 Ge
0.0000 0.0000 0.0000 Cl
```

Properties
As for the uncorrected energy: -3.26 eV per atom. The space group is No. 221.

***

No. 4
Sr2GeCl6 | PBE | optimized geometry

Geometry as POSCAR:
```
Sr2GeCl6
1.0
-2.8531 -4.0663 -4.3904
-3.2440 -3.0362 4.9202
-9.8822 8.3830 -1.3424
Sr Ge Cl
4 2 12
Cartesian
-3.2931 2.7935 -0.4473 Sr
-11.2827 3.4337 -0.8536 Sr
-4.6965 -2.1533 0.0410 Sr
-6.5891 5.5895 -0.8951 Sr
0.0000 0.0000 0.0000 Ge
-7.9896 0.6402 -0.4063 Ge
-5.2861 0.6763 -0.2968 Cl
-7.6003 -2.0195 -0.0957 Cl
-11.5056 3.8395 2.0209 Cl
-11.2630 3.2003 -3.7558 Cl
-4.7162 -1.9199 2.9432 Cl
-4.4737 -2.5590 -2.8335 Cl
-8.3790 3.3000 -0.7169 Cl
-10.6932 0.6041 -0.5158 Cl
-1.7751 -2.0678 0.1542 Cl
-4.3220 -5.0348 0.3756 Cl
-8.1034 0.9401 2.3044 Cl
-7.8758 0.3403 -3.1170 Cl
```

Properties
As for the uncorrected energy: -4.00 eV per atom. The space group is No. 136.

***

No. 5
SrGe2Cl2 | PBE | optimized geometry

Geometry as POSCAR:
```
SrGe2Cl2
1.0
7.7820 0.0000 0.0000
0.0000 7.7820 0.0000
0.0000 0.0000 5.1319
Sr Ge Cl
2 4 4
Cartesian
0.0000 0.0000 0.0000 Sr
3.8910 3.8910 0.0000 Sr
3.0430 6.9340 0.0000 Ge
6.9340 4.7390 0.0000 Ge
4.7390 0.8480 0.0000 Ge
0.8480 3.0430 0.0000 Ge
2.5383 6.4293 2.5660 Cl
6.4293 5.2437 2.5660 Cl
5.2437 1.3527 2.5660 Cl
1.3527 2.5383 2.5660 Cl
```

Properties
As for the uncorrected energy: -3.46 eV per atom. The space group is No. 127.

***

No. 6
SrGeCl | PBE | optimized geometry

Geometry as POSCAR:
```
SrGeCl
1.0
-2.0058 -2.6151 3.3446
1.2318 -3.4105 -1.9278
8.6617 3.1401 4.3536
Cl Ge Sr
2 2 2
Cartesian
2.1677 -1.2587 3.6119 Cl
5.7201 -1.6267 2.1585 Cl
-0.8895 -3.6679 1.5463 Ge
0.1155 -2.3577 -0.1295 Ge
3.1122 -1.6668 0.5632 Sr
4.7755 -1.2186 5.2072 Sr
```

Properties
As for the uncorrected energy: -3.75 eV per atom. The space group is No. 71.

***

No. 7
SrGeTeCl2 | PBE | optimized geometry

Geometry as POSCAR:
```
SrGeTeCl2
1.0
-1.3851 4.8573 0.6709
-5.3880 -1.7688 1.6820
1.5819 -0.2172 4.8387
Sr Ge Te Cl
1 1 1 2
Cartesian
-2.5956 1.4356 3.5958 Sr
0.0000 0.0000 0.0000 Ge
-2.6940 -0.8844 0.8410 Te
0.7909 -0.1086 2.4193 Cl
-0.6926 2.4287 0.3355 Cl
```

Properties
As for the uncorrected energy: -3.72 eV per atom. The space group is No. 123.

***

No. 8
Sr2TiGeCl | PBE | optimized geometry

Geometry as POSCAR:
```
Sr2TiGeCl
1.0
-5.4942 -2.6731 0.4073
2.0982 -4.4255 -0.7405
0.7635 -0.6489 6.0410
Sr Ge Cl Ti
2 1 1 1
Cartesian
0.3818 -0.3244 3.0205 Sr
-2.7471 -1.3365 0.2037 Sr
0.0000 0.0000 0.0000 Ge
-1.3162 -3.8737 2.8539 Cl
1.0491 -2.2127 -0.3703 Ti
```

Properties
As for the uncorrected energy: -3.91 eV per atom. The space group is No. 123.

***

Question: Which of these has the lowest uncorrected energy?
Answer: Sr2GeCl6

***

Question: Which value of uncorrected energy does entry 6 give?
Answer: -3.75 eV per atom

***

Question: Look up the uncorrected energy of the eighth one.
Answer: -3.91 eV per atom